[1]
Dy2Tl2MoO6 PBE with a Hubbard U relaxed; space group = C2/m (12); electronic total energy = -6.794 eV/atom
1.0
2.957 -5.044 0.000
2.957 5.044 0.000
-1.911 0.000 6.538
Dy Tl Mo O
2 2 1 6
direct
0.165 0.835 0.000
0.835 0.165 0.000
0.336 0.664 0.500
0.664 0.336 0.500
0.500 0.500 0.000
0.140 0.449 0.840
0.240 0.240 0.173
0.449 0.140 0.840
0.551 0.860 0.160
0.760 0.760 0.827
0.860 0.551 0.160

[2]
Dy3Tl3MoO8 PBE with a Hubbard U relaxed; space group = C2/m (12); electronic total energy = -6.742 eV/atom
1.0
5.964 -3.408 0.000
5.964 3.408 0.000
-3.916 0.000 6.547
Dy Tl Mo O
3 3 1 8
direct
0.000 0.000 0.000
0.000 0.500 0.000
0.500 0.000 0.000
0.000 0.500 0.500
0.500 0.000 0.500
0.500 0.500 0.500
0.500 0.500 0.000
0.221 0.221 0.168
0.247 0.706 0.162
0.287 0.287 0.834
0.294 0.753 0.838
0.706 0.247 0.162
0.713 0.713 0.166
0.753 0.294 0.838
0.779 0.779 0.832

[3]
DyTl2MoO8 PBE with a Hubbard U relaxed; space group = Cmmm (65); electronic total energy = -6.095 eV/atom
1.0
3.560 -3.650 0.000
3.560 3.650 0.000
0.000 0.000 6.714
Dy Tl Mo O
1 2 1 8
direct
0.000 0.000 0.000
0.500 0.500 0.253
0.500 0.500 0.747
0.000 0.000 0.500
0.177 0.823 0.287
0.177 0.823 0.713
0.282 0.282 0.500
0.306 0.306 0.000
0.694 0.694 0.000
0.718 0.718 0.500
0.823 0.177 0.287
0.823 0.177 0.713

[4]
DyTmMoO6 PBE with a Hubbard U relaxed; space group = P312 (149); electronic total energy = -7.787 eV/atom
1.0
5.473 0.000 0.000
-2.736 4.740 0.000
0.000 0.000 4.718
Dy Tm Mo O
1 1 1 6
direct
0.000 0.000 0.000
0.333 0.667 0.500
0.667 0.333 0.000
0.374 0.031 0.769
0.374 0.343 0.231
0.657 0.031 0.231
0.657 0.626 0.769
0.969 0.343 0.769
0.969 0.626 0.231

[5]
DyTm2MoO8 PBE with a Hubbard U relaxed; space group = Cmmm (65); electronic total energy = -7.740 eV/atom
1.0
3.514 -3.555 0.000
3.514 3.555 0.000
0.000 0.000 6.746
Dy Tm Mo O
1 2 1 8
direct
0.000 0.000 0.000
0.500 0.500 0.252
0.500 0.500 0.748
0.000 0.000 0.500
0.185 0.815 0.287
0.185 0.815 0.713
0.278 0.278 0.500
0.310 0.310 0.000
0.690 0.690 0.000
0.722 0.722 0.500
0.815 0.185 0.287
0.815 0.185 0.713

[6]
DyUMoO6 PBE with a Hubbard U relaxed; space group = P-31c (163); electronic total energy = -8.605 eV/atom
1.0
5.711 0.000 0.000
-2.856 4.946 0.000
0.000 0.000 8.875
Dy U Mo O
2 2 2 12
direct
0.333 0.667 0.250
0.667 0.333 0.750
0.333 0.667 0.750
0.667 0.333 0.250
0.000 0.000 0.000
0.000 0.000 0.500
0.024 0.345 0.629
0.024 0.679 0.871
0.321 0.345 0.871
0.321 0.976 0.629
0.345 0.024 0.129
0.345 0.321 0.371
0.655 0.679 0.629
0.655 0.976 0.871
0.679 0.024 0.371
0.679 0.655 0.129
0.976 0.321 0.129
0.976 0.655 0.371

[7]
DyV2MoO8 PBE with a Hubbard U relaxed; space group = P-3m1 (164); electronic total energy = -7.673 eV/atom
1.0
5.798 0.000 0.000
-2.899 5.022 0.000
0.000 0.000 6.202
Dy V Mo O
1 2 1 8
direct
0.000 0.000 0.000
0.333 0.667 0.660
0.667 0.333 0.340
0.000 0.000 0.500
0.161 0.322 0.741
0.161 0.839 0.741
0.322 0.161 0.259
0.333 0.667 0.398
0.667 0.333 0.602
0.678 0.839 0.741
0.839 0.161 0.259
0.839 0.678 0.259

[8]
DyMoWO6 PBE with a Hubbard U relaxed; space group = P-31c (163); electronic total energy = -7.719 eV/atom
1.0
5.493 0.000 0.000
-2.746 4.757 0.000
0.000 0.000 8.901
Dy Mo W O
2 2 2 12
direct
0.333 0.667 0.250
0.667 0.333 0.750
0.000 0.000 0.000
0.000 0.000 0.500
0.333 0.667 0.750
0.667 0.333 0.250
0.044 0.362 0.629
0.044 0.682 0.871
0.318 0.362 0.871
0.318 0.956 0.629
0.362 0.044 0.129
0.362 0.318 0.371
0.638 0.682 0.629
0.638 0.956 0.871
0.682 0.044 0.371
0.682 0.638 0.129
0.956 0.318 0.129
0.956 0.638 0.371

[9]
DyY2MoO8 PBE with a Hubbard U relaxed; space group = Cmmm (65); electronic total energy = -8.017 eV/atom
1.0
3.556 -3.604 0.000
3.556 3.604 0.000
0.000 0.000 6.808
Dy Y Mo O
1 2 1 8
direct
0.000 0.000 0.000
0.500 0.500 0.251
0.500 0.500 0.749
0.000 0.000 0.500
0.182 0.818 0.288
0.182 0.818 0.712
0.274 0.274 0.500
0.307 0.307 0.000
0.693 0.693 0.000
0.726 0.726 0.500
0.818 0.182 0.288
0.818 0.182 0.712

[10]
DyY2MoO6 PBE with a Hubbard U relaxed; space group = R3 (146); electronic total energy = -8.472 eV/atom
1.0
2.868 1.656 5.032
-2.868 1.656 5.032
0.000 -3.312 5.032
Dy Y Mo O
1 2 1 6
direct
0.000 0.000 0.000
0.215 0.215 0.215
0.721 0.721 0.721
0.510 0.510 0.510
0.125 0.396 0.799
0.311 0.889 0.614
0.396 0.799 0.125
0.614 0.311 0.889
0.799 0.125 0.396
0.889 0.614 0.311

[11]
DyZnMoO6 PBE with a Hubbard U relaxed; space group = P312 (149); electronic total energy = -6.523 eV/atom
1.0
5.472 0.000 0.000
-2.736 4.739 0.000
0.000 0.000 4.421
Dy Zn Mo O
1 1 1 6
direct
0.000 0.000 0.000
0.667 0.333 0.500
0.333 0.667 0.000
0.027 0.376 0.240
0.027 0.651 0.760
0.349 0.376 0.760
0.349 0.973 0.240
0.624 0.651 0.240
0.624 0.973 0.760